Entry 1:
Material: CaTl8Hg2
Method: DFT, PBE
State: optimized geometry

ΔH_f (0 K): -0.0082 eV/atom
crystal system: monoclinic

Lattice parameters (Å, degrees): 8.497 8.497 5.632 99.83 99.83 63.84
Positions (direct):
Ca 0.000 0.000 0.000
Tl 0.230 0.230 0.106
Tl 0.234 0.621 0.218
Tl 0.366 0.366 0.678
Tl 0.379 0.766 0.782
Tl 0.621 0.234 0.218
Tl 0.634 0.634 0.322
Tl 0.766 0.379 0.782
Tl 0.770 0.770 0.894
Hg 0.124 0.124 0.540
Hg 0.876 0.876 0.460


Entry 2:
Material: BaSr2YPd
Method: DFT, PBE
State: optimized geometry

ΔH_f (0 K): -0.2178 eV/atom
crystal system: tetragonal

Lattice parameters (Å, degrees): 6.153 6.153 5.606 90.00 90.00 90.00
Positions (direct):
Ba 0.000 0.000 0.000
Sr 0.000 0.500 0.500
Sr 0.500 0.000 0.500
Y 0.500 0.500 0.000
Pd 0.500 0.500 0.500


Entry 3:
Material: Dy4Br
Method: DFT, PBE
State: optimized geometry

E_form (uncorrected): -182.1 meV/atom
crystal system: cubic

Lattice parameters (Å, degrees): 5.422 5.422 5.422 90.00 90.00 90.00
Positions (direct):
Dy 0.000 0.000 0.000
Dy 0.000 0.500 0.500
Dy 0.500 0.000 0.500
Dy 0.500 0.500 0.000
Br 0.500 0.500 0.500


Entry 4:
Material: AgPdRh3
Method: DFT, PBE
State: optimized geometry

ΔH_f (0 K): 1.5145 eV/atom
energy above the lowest structure with this stoichiometry: 0.0000 eV/atom
crystal system: cubic

Lattice parameters (Å, degrees): 4.751 4.751 4.751 90.00 90.00 90.00
Positions (direct):
Ag 0.000 0.000 0.000
Pd 0.500 0.500 0.500
Rh 0.000 0.500 0.500
Rh 0.500 0.000 0.500
Rh 0.500 0.500 0.000


Entry 5:
Material: Ti3GaSb
Method: DFT, PBE
State: optimized geometry

E_form (uncorrected): 279.1 meV/atom
energy above the lowest structure with this stoichiometry: 0.6608 eV/atom
crystal system: cubic

Lattice parameters (Å, degrees): 4.701 4.701 4.701 90.00 90.00 90.00
Positions (direct):
Ti 0.000 0.000 0.500
Ti 0.000 0.500 0.000
Ti 0.500 0.000 0.000
Ga 0.000 0.000 0.000
Sb 0.500 0.500 0.500


Entry 6:
Material: Li2Ac2In
Method: DFT, PBE
State: optimized geometry

ΔH_f (0 K): -0.1692 eV/atom
energy above the lowest structure with this stoichiometry: 0.0000 eV/atom
crystal system: monoclinic

Lattice parameters (Å, degrees): 6.714 6.714 8.006 107.68 107.68 65.84
Positions (direct):
Li 0.058 0.806 0.557
Li 0.194 0.942 0.943
Li 0.806 0.058 0.057
Li 0.942 0.194 0.443
Ac 0.246 0.388 0.854
Ac 0.388 0.246 0.354
Ac 0.612 0.754 0.646
Ac 0.754 0.612 0.146
In 0.216 0.784 0.250
In 0.784 0.216 0.750


| no. | DOS at the Fermi energy (states/eV per cell) |
| --- | --- |
| 1 | 6.1 |
| 2 | 4.8 |
| 3 | 7.3 |
| 4 | 6.2 |
| 5 | 4.6 |
| 6 | 6.5 |